[1]
Compound: CsTa2VO8
Source: Alexandria
Functional: GGA+U
Structure: optimized geometry

Output
- spin magnetization (Bohr magnetons per cell) = 0.0
- symmetry = No. 147
- V (Å³/f.u.) = 240.9
- VASP energy (eV/cell) = -99.7

The structure in CIF format:
```
data_CsTa2VO8
_cell_length_a 5.677
_cell_length_b 5.677
_cell_length_c 8.632
_cell_angle_alpha 90.00
_cell_angle_beta 90.00
_cell_angle_gamma 120.00
_symmetry_space_group_name_H-M 'P 1'
_symmetry_Int_Tables_number 1
loop_
_symmetry_equiv_pos_as_xyz
'x,y,z'
loop_
_atom_site_label
_atom_site_fract_x
_atom_site_fract_y
_atom_site_fract_z
Ta1 0.667 0.333 0.308
Ta2 0.333 0.667 0.692
O1 0.906 0.695 0.373
O2 0.667 0.333 0.102
O3 0.094 0.305 0.627
O4 0.789 0.094 0.373
O5 0.695 0.789 0.627
O6 0.211 0.906 0.627
O7 0.333 0.667 0.898
O8 0.305 0.211 0.373
V1 0.000 0.000 0.500
Cs1 0.000 0.000 0.000
```

[2]
Compound: CsTaV2O8
Source: Alexandria
Functional: GGA+U
Structure: optimized geometry

Output
- spin magnetization (Bohr magnetons per cell) = 0.0
- offset from the most stable computed form (eV per atom) = 0.000
- symmetry = No. 147
- V (Å³/f.u.) = 235.4

The structure in CIF format:
```
data_CsTaV2O8
_cell_length_a 5.694
_cell_length_b 5.694
_cell_length_c 8.383
_cell_angle_alpha 90.00
_cell_angle_beta 90.00
_cell_angle_gamma 120.00
_symmetry_space_group_name_H-M 'P 1'
_symmetry_Int_Tables_number 1
loop_
_symmetry_equiv_pos_as_xyz
'x,y,z'
loop_
_atom_site_label
_atom_site_fract_x
_atom_site_fract_y
_atom_site_fract_z
V1 0.667 0.333 0.294
V2 0.333 0.667 0.706
O1 0.667 0.333 0.097
O2 0.842 0.674 0.361
O3 0.158 0.326 0.639
O4 0.832 0.158 0.361
O5 0.326 0.168 0.361
O6 0.674 0.832 0.639
O7 0.168 0.842 0.639
O8 0.333 0.667 0.903
Ta1 0.000 0.000 0.500
Cs1 0.000 0.000 0.000
```

[3]
Compound: CsTaV2O8
Source: Alexandria
Functional: GGA+U
Structure: optimized geometry

Output
- spin magnetization (Bohr magnetons per cell) = 0.0
- offset from the most stable computed form (eV per atom) = 0.012
- symmetry = No. 11
- V (Å³/f.u.) = 218.3

The structure in CIF format:
```
data_CsTaV2O8
_cell_length_a 5.708
_cell_length_b 9.339
_cell_length_c 17.030
_cell_angle_alpha 74.16
_cell_angle_beta 90.00
_cell_angle_gamma 90.00
_symmetry_space_group_name_H-M 'P 1'
_symmetry_Int_Tables_number 1
loop_
_symmetry_equiv_pos_as_xyz
'x,y,z'
loop_
_atom_site_label
_atom_site_fract_x
_atom_site_fract_y
_atom_site_fract_z
V1 0.750 0.117 0.199
V2 0.250 0.651 0.667
V3 0.750 0.705 0.448
V4 0.750 0.349 0.333
V5 0.750 0.792 0.044
V6 0.250 0.883 0.801
V7 0.250 0.208 0.956
V8 0.250 0.295 0.552
O1 0.007 0.458 0.306
O2 0.503 0.318 0.608
O3 0.750 0.905 0.943
O4 0.750 0.581 0.546
O5 0.507 0.992 0.795
O6 0.750 0.268 0.756
O7 0.250 0.095 0.057
O8 0.495 0.824 0.097
O9 0.250 0.749 0.886
O10 0.995 0.176 0.903
O11 0.750 0.270 0.432
O12 0.493 0.458 0.306
O13 0.505 0.176 0.903
O14 0.993 0.542 0.694
O15 0.250 0.385 0.957
O16 0.250 0.802 0.716
O17 0.250 0.730 0.568
O18 0.250 0.419 0.454
O19 0.493 0.008 0.205
O20 0.750 0.198 0.284
O21 0.507 0.542 0.694
O22 0.250 0.121 0.545
O23 0.993 0.992 0.795
O24 0.007 0.008 0.205
O25 0.250 0.732 0.244
O26 0.750 0.251 0.114
O27 0.003 0.682 0.392
O28 0.005 0.824 0.097
O29 0.497 0.682 0.392
O30 0.997 0.318 0.608
O31 0.750 0.615 0.043
O32 0.750 0.879 0.455
Ta1 0.750 0.091 0.848
Ta2 0.750 0.421 0.653
Ta3 0.250 0.579 0.347
Ta4 0.250 0.909 0.152
Cs1 0.250 0.001 0.392
Cs2 0.750 0.999 0.608
Cs3 0.250 0.481 0.114
Cs4 0.750 0.519 0.886
```

[4]
Compound: Cs2TaWO6
Source: Alexandria
Functional: GGA+U
Structure: optimized geometry

Output
- spin magnetization (Bohr magnetons per cell) = 1.0
- symmetry = No. 139
- V (Å³/f.u.) = 184.2
- VASP energy (eV/cell) = -70.9

The structure in CIF format:
```
data_Cs2TaWO6
_cell_length_a 5.637
_cell_length_b 5.637
_cell_length_c 7.035
_cell_angle_alpha 66.39
_cell_angle_beta 66.39
_cell_angle_gamma 90.00
_symmetry_space_group_name_H-M 'P 1'
_symmetry_Int_Tables_number 1
loop_
_symmetry_equiv_pos_as_xyz
'x,y,z'
loop_
_atom_site_label
_atom_site_fract_x
_atom_site_fract_y
_atom_site_fract_z
O1 0.739 0.262 0.000
O2 0.164 0.164 0.671
O3 0.261 0.738 0.000
O4 0.738 0.738 0.000
O5 0.836 0.836 0.329
O6 0.262 0.262 0.000
Cs1 0.250 0.750 0.500
Cs2 0.750 0.250 0.500
W1 0.500 0.500 0.000
Ta1 0.000 0.000 0.000
```

[5]
Compound: CsTaWO6
Source: Alexandria
Functional: GGA+U
Structure: optimized geometry

Output
- spin magnetization (Bohr magnetons per cell) = 0.0
- symmetry = No. 74
- V (Å³/f.u.) = 146.0
- VASP energy (eV/cell) = -143.5

The structure in CIF format:
```
data_CsTaWO6
_cell_length_a 7.448
_cell_length_b 7.448
_cell_length_c 7.448
_cell_angle_alpha 120.18
_cell_angle_beta 119.90
_cell_angle_gamma 89.93
_symmetry_space_group_name_H-M 'P 1'
_symmetry_Int_Tables_number 1
loop_
_symmetry_equiv_pos_as_xyz
'x,y,z'
loop_
_atom_site_label
_atom_site_fract_x
_atom_site_fract_y
_atom_site_fract_z
W1 0.000 0.500 0.000
W2 0.000 0.000 0.500
O1 0.312 0.562 0.750
O2 0.060 0.816 0.621
O3 0.060 0.439 0.244
O4 0.940 0.190 0.750
O5 0.688 0.438 0.250
O6 0.060 0.810 0.250
O7 0.694 0.439 0.879
O8 0.940 0.561 0.756
O9 0.306 0.561 0.121
O10 0.306 0.184 0.744
O11 0.940 0.184 0.379
O12 0.694 0.816 0.256
Ta1 0.000 0.500 0.500
Ta2 0.500 0.500 0.000
Cs1 0.621 0.871 0.750
Cs2 0.379 0.129 0.250
```

[6]
Compound: Cs2Ta3WO12
Source: Alexandria
Functional: GGA+U
Structure: optimized geometry

Output
- spin magnetization (Bohr magnetons per cell) = 1.1
- symmetry = No. 166
- V (Å³/f.u.) = 296.3
- VASP energy (eV/cell) = -148.9

The structure in CIF format:
```
data_Cs2Ta3WO12
_cell_length_a 7.471
_cell_length_b 7.471
_cell_length_c 7.471
_cell_angle_alpha 60.21
_cell_angle_beta 60.21
_cell_angle_gamma 60.21
_symmetry_space_group_name_H-M 'P 1'
_symmetry_Int_Tables_number 1
loop_
_symmetry_equiv_pos_as_xyz
'x,y,z'
loop_
_atom_site_label
_atom_site_fract_x
_atom_site_fract_y
_atom_site_fract_z
Cs1 0.375 0.375 0.375
Cs2 0.625 0.625 0.625
O1 0.687 0.060 0.687
O2 0.940 0.940 0.305
O3 0.305 0.940 0.940
O4 0.313 0.940 0.313
O5 0.687 0.687 0.060
O6 0.940 0.305 0.940
O7 0.695 0.060 0.060
O8 0.313 0.313 0.940
O9 0.060 0.060 0.695
O10 0.060 0.687 0.687
O11 0.940 0.313 0.313
O12 0.060 0.695 0.060
Ta1 0.000 0.500 0.000
Ta2 0.000 0.000 0.500
Ta3 0.500 0.000 0.000
W1 0.000 0.000 0.000
```

What is the formula in the second record? CsTaV2O8